Record 1
A plane-wave DFT calculation with PBE was carried out for an optimized crystal structure of Li4Cd3Pd4.

## Properties
Density in Mg/m³: 7.44
Energy relative to the lowest polymorph listed for this composition in meV/atom: 0.0
SG: P1
Density of states at the Fermi level in states/eV per cell: 2.54
Formation energy from the elements in kcal/mol of atoms: -9.075

abc: 2.9031 4.3997 14.0386
angles: 98.89 95.22 90.10
Positions (direct):
Li1 0.0000 0.0000 0.0000
Li2 0.0164 0.3585 0.7170
Li3 0.5438 0.8270 0.6544
Li4 0.5641 0.1855 0.3714
Cd1 0.6519 0.4509 0.9016
Cd2 0.7805 0.0927 0.1856
Cd3 0.9085 0.7346 0.4699
Pd1 0.1480 0.9097 0.8193
Pd2 0.2632 0.6432 0.2859
Pd3 0.2973 0.5424 0.0856
Pd4 0.4123 0.2757 0.5520

---

Record 2
A plane-wave DFT calculation with PBE was carried out for an optimized crystal structure of CoCuB2Au.

## Properties
Density in Mg/m³: 8.71
SG: P4/mmm
Density of states at the Fermi level in states/eV per cell: 2.63
Formation energy from the elements in kcal/mol of atoms: 19.350

abc: 3.7363 3.7363 4.6589
angles: 90.00 90.00 90.00
Positions (direct):
Co1 0.0000 0.0000 0.0000
Cu1 0.0000 0.0000 0.5000
B1 0.0000 0.5000 0.0000
B2 0.5000 0.0000 0.0000
Au1 0.5000 0.5000 0.5000